(1)
# KTi2Mo2

A geometry-optimized KTi2Mo2 structure (GGA-PBE, the Alexandria database).

Cell: 8.582 8.582 2.767 Å, 90.00 90.00 90.00°
Space group P4/mbm (No. 127)
Symmetry-distinct sites (fractional):
K  0.000  0.000  0.000 (multiplicity 2)
Ti  0.139  0.361  0.500 (multiplicity 4)
Mo  0.134  0.634  0.000 (multiplicity 4)

Values from the calculation:
Energy above the lowest structure with this stoichiometry, eV/atom: 0.000

---

(2)
# K2Ti2Mo

A geometry-optimized K2Ti2Mo structure (GGA-PBE, the Alexandria database).

Cell: 6.523 6.523 6.656 Å, 90.00 90.00 90.00°
Space group P4/mbm (No. 127)
Symmetry-distinct sites (fractional):
K  0.186  0.314  0.000 (multiplicity 4)
Ti  0.177  0.677  0.500 (multiplicity 4)
Mo  0.000  0.000  0.500 (multiplicity 2)

Values from the calculation:
Energy above the lowest structure with this stoichiometry, eV/atom: 0.000

---

(3)
# KTiMo2

A geometry-optimized KTiMo2 structure (GGA-PBE, the Alexandria database).

Cell: 4.626 4.626 18.570 Å, 90.00 90.00 90.00°
Space group I-42d (No. 122)
Symmetry-distinct sites (fractional):
K  0.000  0.000  0.000 (multiplicity 4)
Ti  0.000  0.000  0.500 (multiplicity 4)
Mo  0.091  0.750  0.625 (multiplicity 8)

Values from the calculation:
Energy above the lowest structure with this stoichiometry, eV/atom: 0.024

---

Which energy of formation from the pure elements belongs to each record? In order, 0.660; 0.895; 1.600 eV/atom.